(1)
TcMoO2 (PBE+U, optimized geometry); SG = No. 166; energy relative to the lowest polymorph listed for this composition = 0.0 meV per atom
1.0
-1.805 5.725 3.730
0.436 6.623 2.426
-2.000 6.678 1.164
Tc O Mo
1 2 1
Cartesian
0.000 0.000 0.000
-0.327 1.850 0.712
-3.041 17.176 6.608
-1.684 9.513 3.660

***

(2)
TcMo3O (PBE+U, optimized geometry); SG = No. 221; energy relative to the lowest polymorph listed for this composition = 1456.8 meV per atom
1.0
5.007 0.000 0.000
0.000 5.007 0.000
0.000 0.000 5.007
Mo O Tc
3 1 1
Cartesian
0.000 2.504 0.000
2.504 0.000 0.000
0.000 0.000 2.504
2.504 2.504 2.504
0.000 0.000 0.000

***

(3)
TcMoO2 (PBE+U, optimized geometry); SG = No. 225; energy relative to the lowest polymorph listed for this composition = 948.1 meV per atom
1.0
1.988 -2.556 2.224
-1.218 -3.724 0.277
2.074 -2.876 -1.690
O Tc Mo
2 1 1
Cartesian
0.711 -2.289 0.203
2.133 -6.867 0.609
1.422 -4.578 0.406
0.000 0.000 0.000

***

(4)
TcMo2O8 (PBE+U, optimized geometry); SG = No. 12
1.0
-3.378 2.779 2.963
-3.155 4.674 -7.980
-1.059 -5.758 3.029
O Mo Tc
8 2 1
Cartesian
-6.201 5.439 -4.695
-5.711 1.911 -2.605
-4.652 -0.830 1.353
-2.940 2.526 -3.341
-1.391 -3.743 2.707
-1.881 -0.216 0.617
-3.685 -0.345 -3.095
-3.907 2.040 1.107
-4.200 1.377 -3.515
-3.392 0.318 1.527
0.000 0.000 0.000

***

| no. | energy (Ha/atom) |
| --- | --- |
| 1 | -0.2775 |
| 2 | -0.1907 |
| 3 | -0.2427 |
| 4 | -0.2621 |